--- 1 ---
Entry from Alexandria: SnHg3Pb2 after structural relaxation (PBE).

Cell and atoms, written as CIF:
```
data_SnHg3Pb2
_cell_length_a 13.722
_cell_length_b 8.917
_cell_length_c 6.141
_cell_angle_alpha 90.00
_cell_angle_beta 90.00
_cell_angle_gamma 90.00
_symmetry_space_group_name_H-M 'C m c 21'
_symmetry_Int_Tables_number 36
loop_
_symmetry_equiv_pos_as_xyz
'x,y,z'
'-x,-y,z+1/2'
'-x,y,z'
'x,-y,z+1/2'
'x+1/2,y+1/2,z'
'-x+1/2,-y+1/2,z+1/2'
'-x+1/2,y+1/2,z'
'x+1/2,-y+1/2,z+1/2'
loop_
_atom_site_label
_atom_site_type_symbol
_atom_site_fract_x
_atom_site_fract_y
_atom_site_fract_z
_atom_site_occupancy
Sn1 Sn 0.000 0.155 0.000 1
Hg1 Hg 0.000 0.176 0.492 1
Hg2 Hg 0.110 0.444 0.238 1
Pb1 Pb 0.200 0.244 0.778 1
```

Summary:
As for the total magnetic moment: 0.0 Bohr magnetons per cell.



--- 2 ---
Entry from Alexandria: SnHg3Pb2 after structural relaxation (PBE).

Cell and atoms, written as CIF:
```
data_SnHg3Pb2
_cell_length_a 11.542
_cell_length_b 6.299
_cell_length_c 10.181
_cell_angle_alpha 90.00
_cell_angle_beta 112.08
_cell_angle_gamma 90.00
_symmetry_space_group_name_H-M 'C 1 2/c 1'
_symmetry_Int_Tables_number 15
loop_
_symmetry_equiv_pos_as_xyz
'x,y,z'
'-x,-y,-z'
'-x,y,-z+1/2'
'x,-y,z+1/2'
'x+1/2,y+1/2,z'
'-x+1/2,-y+1/2,-z'
'-x+1/2,y+1/2,-z+1/2'
'x+1/2,-y+1/2,z+1/2'
loop_
_atom_site_label
_atom_site_type_symbol
_atom_site_fract_x
_atom_site_fract_y
_atom_site_fract_z
_atom_site_occupancy
Sn1 Sn 0.000 0.005 0.250 1
Hg1 Hg 0.000 0.475 0.750 1
Hg2 Hg 0.129 0.227 0.531 1
Pb1 Pb 0.203 0.283 0.139 1
```

Summary:
As for the total magnetic moment: 0.0 Bohr magnetons per cell.



The computed energies, referenced to the most stable structure and given in kJ/mol of atoms, are 1 6.0; 2 0.0.



--- 1 ---
Entry from Alexandria: Sn2Hg2Pb3 after structural relaxation (PBE).

Cell and atoms, written as CIF:
```
data_Sn2Hg2Pb3
_cell_length_a 7.241
_cell_length_b 6.380
_cell_length_c 17.629
_cell_angle_alpha 90.00
_cell_angle_beta 90.00
_cell_angle_gamma 90.00
_symmetry_space_group_name_H-M 'P b c m'
_symmetry_Int_Tables_number 57
loop_
_symmetry_equiv_pos_as_xyz
'x,y,z'
'-x,-y,-z'
'-x,-y,z+1/2'
'x,y,-z+1/2'
'x,-y+1/2,-z'
'-x,y+1/2,z'
'-x,y+1/2,-z+1/2'
'x,-y+1/2,z+1/2'
loop_
_atom_site_label
_atom_site_type_symbol
_atom_site_fract_x
_atom_site_fract_y
_atom_site_fract_z
_atom_site_occupancy
Sn1 Sn 0.021 0.250 0.000 1
Sn2 Sn 0.438 0.202 0.250 1
Hg1 Hg 0.217 0.022 0.631 1
Pb1 Pb 0.104 0.649 0.750 1
Pb2 Pb 0.354 0.539 0.578 1
```

Summary:
As for the total magnetic moment: 0.0 Bohr magnetons per cell.



--- 2 ---
Entry from Alexandria: Sn2Hg2Pb3 after structural relaxation (PBE).

Cell and atoms, written as CIF:
```
data_Sn2Hg2Pb3
_cell_length_a 3.421
_cell_length_b 5.075
_cell_length_c 23.177
_cell_angle_alpha 90.00
_cell_angle_beta 90.00
_cell_angle_gamma 90.00
_symmetry_space_group_name_H-M 'I m m m'
_symmetry_Int_Tables_number 71
_symmetry_space_group_name_Hall '-I 2 2'
loop_
_atom_site_label
_atom_site_type_symbol
_atom_site_fract_x
_atom_site_fract_y
_atom_site_fract_z
_atom_site_occupancy
Sn1 Sn 0.000 0.000 0.071 1
Hg1 Hg 0.000 0.500 0.145 1
Pb1 Pb 0.000 0.000 0.500 1
Pb2 Pb 0.000 0.500 0.291 1
```

Summary:
As for the total magnetic moment: 0.0 Bohr magnetons per cell.



The computed energies, referenced to the most stable structure and given in kJ/mol of atoms, are 1 1.1; 2 0.0.